No. 1
Crystalline TlReRh2 at its relaxed geometry. Source: Alexandria, functional PBE.

Cell and atoms, written as POSCAR:
```
TlReRh2
1.0
4.653 -1.434 0.000
4.653 1.434 0.000
-0.854 0.000 4.867
Tl Re Rh
1 1 2
Cartesian
0.000 0.000 0.000
1.664 0.000 3.303
4.253 0.000 2.472
6.829 0.000 1.092
```

Properties
**E_tot**: -28.26 eV per cell
**Space-group type**: Cm (8)
**Size of the total moment**: 0.0001 μB/atom
**Fermi-level density of states**: 0.895 states/eV per atom

***

No. 2
Crystalline Pr12Au6N at its relaxed geometry. Source: Alexandria, functional PBE.

Cell and atoms, written as POSCAR:
```
Pr12Au6N
1.0
6.046 3.491 4.434
-6.046 3.491 4.434
0.000 -6.981 4.434
Pr Au N
12 6 1
Cartesian
-3.916 -3.832 7.332
-5.276 1.475 5.971
-2.039 -0.338 5.187
1.360 -5.307 5.971
1.313 -1.597 5.187
-0.726 -1.935 8.116
0.726 1.935 5.187
-1.313 1.597 8.116
-1.360 5.307 7.332
2.039 0.338 8.116
5.276 -1.475 7.332
3.916 3.832 5.971
-1.295 -3.548 5.554
-3.720 -0.652 7.749
-2.425 2.896 5.554
2.425 -2.896 7.749
3.720 0.652 5.554
1.295 3.548 7.749
0.000 0.000 6.651
```

Properties
**E_tot**: -96.07 eV per cell
**Space-group type**: R-3 (148)
**Size of the total moment**: 0.0000 μB/atom
**Fermi-level density of states**: 1.143 states/eV per atom

***

No. 3
Crystalline TlSb2Pb5 at its relaxed geometry. Source: Alexandria, functional PBE.

Cell and atoms, written as POSCAR:
```
TlSb2Pb5
1.0
6.077 0.000 0.000
0.000 14.230 0.000
-2.092 0.000 5.745
Tl Sb Pb
2 4 10
Cartesian
0.951 3.558 1.268
3.034 10.673 4.477
-0.018 1.618 4.241
-0.018 5.497 4.241
4.003 8.733 1.504
4.003 12.612 1.504
0.977 7.125 1.428
0.977 14.220 1.428
-0.020 8.834 4.325
-0.020 12.511 4.325
1.166 10.673 1.529
2.818 3.558 4.216
4.005 1.719 1.420
4.005 5.396 1.420
3.008 0.010 4.317
3.008 7.105 4.317
```

Properties
**E_tot**: -57.78 eV per cell
**Space-group type**: P2_1/m (11)
**Size of the total moment**: 0.0000 μB/atom
**Fermi-level density of states**: 0.501 states/eV per atom

***

No. 4
Crystalline UZn2Ga4 at its relaxed geometry. Source: Alexandria, functional PBE.

Cell and atoms, written as POSCAR:
```
UZn2Ga4
1.0
4.462 0.000 0.000
0.000 4.462 0.000
0.000 0.000 6.700
U Zn Ga
1 2 4
Cartesian
0.000 0.000 0.000
0.000 0.000 3.350
2.231 2.231 0.000
0.000 2.231 1.924
0.000 2.231 4.776
2.231 0.000 1.924
2.231 0.000 4.776
```

Properties
**E_tot**: -26.47 eV per cell
**Space-group type**: P4/mmm (123)
**Size of the total moment**: 0.3370 μB/atom
**Fermi-level density of states**: 1.021 states/eV per atom